(1)
Density functional theory data (GGA-PBE) for a geometry-optimized Ac2NdSmHg4 structure.

Properties
- Total energy: -22.5 eV/f.u.
- SG: R-3m

```
Ac2NdSmHg4
1.0
-3.959 -3.902 -0.269
0.691 -4.851 2.637
-5.032 0.569 8.236
Ac Nd Sm Hg
2 1 1 4
direct
0.750 0.750 0.749
0.250 0.250 0.251
0.000 0.000 0.000
0.500 0.500 0.500
0.375 0.375 0.874
0.874 0.874 0.377
0.126 0.126 0.623
0.625 0.625 0.126
```


(2)
Density functional theory data (GGA-PBE) for a geometry-optimized MnMoPb2 structure.

Properties
- Total energy: -24.4 eV/f.u.
- SG: Pmmm
- Polymorph energy (0 for the lowest one): 402 meV/atom

```
MnMoPb2
1.0
3.559 0.000 0.000
0.000 5.292 0.000
0.000 0.000 4.470
Mn Mo Pb
1 1 2
direct
0.500 0.000 0.500
0.000 0.500 0.500
0.000 0.000 0.000
0.500 0.500 0.000
```


(3)
Density functional theory data (GGA-PBE) for a geometry-optimized Sr3TlO structure.

Properties
- Total energy: -18.4 eV/f.u.
- Formation energy (no corrections): -1.20 eV/atom
- SG: P-1

```
Sr3TlO
1.0
-2.072 3.489 6.172
-7.061 0.932 -2.176
0.588 -6.950 0.116
Sr Tl O
6 2 2
direct
0.317 0.851 0.836
0.827 0.978 0.997
0.835 0.561 0.201
0.446 0.710 0.369
0.309 0.269 0.632
0.699 0.120 0.463
0.213 0.275 0.078
0.931 0.555 0.755
0.625 0.835 0.181
0.519 0.994 0.652
```